1.
# GaFe10B3

A relaxed GaFe10B3 crystal (PBE-GGA, Alexandria via LeMat-Bulk).

Lattice parameters (Å, degrees): 7.4976 7.4976 7.4976 60.00 60.00 60.00
With the nearest neighbours (Å) after each atom.
Atoms (fractional coordinates):
Fe  0.3845  0.3845  0.3845  3 B 2.09
Fe  0.6646  0.3354  0.0000  2 B 2.11
Fe  0.6155  0.6155  0.1534  3 B 2.09
Fe  0.8466  0.3845  0.3845  3 B 2.09
Fe  0.3354  0.6646  0.0000  2 B 2.11
Fe  0.6155  0.1534  0.6155  3 B 2.09
Fe  0.3845  0.8466  0.3845  3 B 2.09
Fe  0.6646  0.0000  0.3354  2 B 2.11
Fe  0.3354  0.0000  0.0000  2 B 2.11
Fe  0.0000  0.6646  0.0000  2 B 2.11
Fe  0.0000  0.3354  0.0000  2 B 2.11
Fe  0.3845  0.3845  0.8466  3 B 2.09
Fe  0.6155  0.6155  0.6155  3 B 2.09
Fe  0.0000  0.3354  0.6646  2 B 2.11
Fe  0.1534  0.6155  0.6155  3 B 2.09
Fe  0.0000  0.0000  0.6646  2 B 2.11
Fe  0.0000  0.6646  0.3354  2 B 2.11
Fe  0.6646  0.0000  0.0000  2 B 2.11
Fe  0.3354  0.0000  0.6646  2 B 2.11
Fe  0.0000  0.0000  0.3354  2 B 2.11
B  0.2748  0.7252  0.2748  8 Fe 2.09-2.11
B  0.2748  0.7252  0.7252  8 Fe 2.09-2.11
B  0.7252  0.2748  0.2748  8 Fe 2.09-2.11
B  0.7252  0.7252  0.2748  8 Fe 2.09-2.11
B  0.2748  0.2748  0.7252  8 Fe 2.09-2.11
B  0.7252  0.2748  0.7252  8 Fe 2.09-2.11
Ga  0.7500  0.7500  0.7500  4 Fe 2.47
Ga  0.2500  0.2500  0.2500  4 Fe 2.47

Values from the calculation:
SG	Fm-3m (225)

---

2.
# La5Dy2Ge4

A relaxed La5Dy2Ge4 crystal (PBE-GGA, Alexandria via LeMat-Bulk).

Lattice parameters (Å, degrees): 3.8899 8.5441 13.3190 124.87 98.40 90.00
With the nearest neighbours (Å) after each atom.
Atoms (fractional coordinates):
Ge  0.6050  0.4932  0.2100  2 Ge 2.55
Ge  0.9703  0.6738  0.9405  2 Ge 2.55
Ge  0.0297  0.3262  0.0595  2 Ge 2.55
Ge  0.3950  0.5068  0.7900  2 Ge 2.55
Dy  0.7338  0.8064  0.4676  1 Ge 2.86
Dy  0.2662  0.1936  0.5324  1 Ge 2.86
La  0.1622  0.3549  0.3245  3 Ge 3.08-3.36
La  0.9002  0.2303  0.8004  4 Ge 3.02-3.12
La  0.5000  0.0000  0.0000  6 Ge 3.10-3.45
La  0.0998  0.7697  0.1996  4 Ge 3.02-3.12
La  0.8378  0.6451  0.6755  3 Ge 3.08-3.36

Values from the calculation:
SG	C2/m (12)

---

3.
# NbTl3Tc

A relaxed NbTl3Tc crystal (PBE-GGA, Alexandria via LeMat-Bulk).

Lattice parameters (Å, degrees): 5.4291 5.4291 5.4291 90.00 90.00 90.00
With the nearest neighbours (Å) after each atom.
Atoms (fractional coordinates):
Tl  0.0000  0.0000  0.5000  2 Nb 2.71
Tl  0.0000  0.5000  0.0000  2 Nb 2.71
Tl  0.5000  0.0000  0.0000  2 Nb 2.71
Tc  0.5000  0.5000  0.5000  12 Tl 3.84
Nb  0.0000  0.0000  0.0000  6 Tl 2.71

Values from the calculation:
SG	Pm-3m (221)
relative energy among the computed polymorphs	218	meV per atom

---

Here are the calculated formation enthalpy at 0 K numbers, same order: -159; -315; 1474 (meV/atom).
Here are the calculated ρ numbers, same order: 7.4; 6.1; 8.3 (g/cm³).